Compound: SrCoP2I
Source: Alexandria via LeMat-Bulk
Functional: SCAN
Structure: PBEsol geometry

Calculated values
Calculated total energy (eV/atom): -18.18
ρ (Mg/m³): 3.19
Space-group type: P4/mmm

abc: 5.377 5.377 6.045
angles: 90.00 90.00 90.00
Fractional coordinates of all 5 atoms:
1 Sr 0.000 0.000 0.000
2 Co 0.500 0.500 0.500
3 P 0.000 0.500 0.000
4 P 0.500 0.000 0.000
5 I 0.000 0.000 0.500

=====

Compound: CoPdI3
Source: Alexandria via LeMat-Bulk
Functional: SCAN
Structure: PBEsol geometry

Calculated values
Calculated total energy (eV/atom): -31.46
ρ (Mg/m³): 5.90
Space-group type: Pm-3m

abc: 5.357 5.357 5.357
angles: 90.00 90.00 90.00
Fractional coordinates of all 5 atoms:
1 Co 0.000 0.000 0.000
2 Pd 0.500 0.500 0.500
3 I 0.000 0.500 0.500
4 I 0.500 0.000 0.500
5 I 0.500 0.500 0.000

=====

- Which of these has the lowest calculated total energy?
  CoPdI3

=====

Copy entry 2 word for word.
Compound: CoPdI3
Source: Alexandria via LeMat-Bulk
Functional: SCAN
Structure: PBEsol geometry

Calculated values
Calculated total energy (eV/atom): -31.46
ρ (Mg/m³): 5.90
Space-group type: Pm-3m

abc: 5.357 5.357 5.357
angles: 90.00 90.00 90.00
Fractional coordinates of all 5 atoms:
1 Co 0.000 0.000 0.000
2 Pd 0.500 0.500 0.500
3 I 0.000 0.500 0.500
4 I 0.500 0.000 0.500
5 I 0.500 0.500 0.000

=====

- Number 1 is which compound?
  SrCoP2I

=====

- Among the records above, which one has the highest calculated total energy?
  SrCoP2I